[1]
## Hf6Fe2Ir (GGA-PBE)

Data for an optimized crystal structure of Hf6Fe2Ir.

Results
The crystal system is orthorhombic. As for the space group: Immm, No. 71. For the uncorrected energy, the calculation gives -177.7 eV/cell. The calculation puts the total magnetic moment at 0.00 Bohr magnetons per cell.

a = 7.5828 Å, b = 7.5828 Å, c = 7.5828 Å
α = 110.69°, β = 110.40°, γ = 107.34°
Positions (direct):
Hf (0.0207, 0.8267, 0.1940)
Hf (0.2468, 0.5536, 0.3069)
Hf (0.2468, 0.9399, 0.6931)
Hf (0.2736, 0.3131, 0.5867)
Hf (0.2736, 0.6869, 0.9606)
Hf (0.3673, 0.1733, 0.1940)
Hf (0.6327, 0.8267, 0.8060)
Hf (0.7264, 0.3131, 0.0394)
Hf (0.7264, 0.6869, 0.4133)
Hf (0.7532, 0.0601, 0.3069)
Hf (0.7532, 0.4464, 0.6931)
Hf (0.9793, 0.1733, 0.8060)
Fe (0.0000, 0.1590, 0.1590)
Fe (0.0000, 0.8410, 0.8410)
Fe (0.3841, 0.3841, 0.0000)
Fe (0.6159, 0.6159, 0.0000)
Ir (0.0000, 0.5000, 0.5000)
Ir (0.5000, 0.0000, 0.5000)

[2]
## LiMn2Os (GGA-PBE)

Data for an optimized crystal structure of LiMn2Os.

Results
The crystal system is monoclinic. As for the space group: Cm, No. 8. For the uncorrected energy, the calculation gives -30.8 eV/cell. The calculation puts the total magnetic moment at 0.04 Bohr magnetons per cell.

a = 4.8382 Å, b = 4.8382 Å, c = 4.3394 Å
α = 112.67°, β = 112.67°, γ = 33.22°
Positions (direct):
Li (0.0000, 0.0000, 0.0000)
Mn (0.4885, 0.4885, 0.4913)
Mn (0.7571, 0.7571, 0.1960)
Os (0.2336, 0.2336, 0.6800)

[3]
## PrSi2RuRh (GGA-PBE)

Data for an optimized crystal structure of PrSi2RuRh.

Results
The crystal system is tetragonal. The uncorrected formation energy comes out at -995 meV/atom. As for the space group: I-4m2, No. 119. For the uncorrected energy, the calculation gives -37.2 eV/cell. The calculation puts the total magnetic moment at 0.00 Bohr magnetons per cell.

a = 5.8207 Å, b = 5.8207 Å, c = 5.8207 Å
α = 137.96°, β = 137.96°, γ = 60.96°
Positions (direct):
Pr (0.0000, 0.0000, 0.0000)
Si (0.3691, 0.3691, 0.0000)
Si (0.6309, 0.6309, 0.0000)
Ru (0.2500, 0.7500, 0.5000)
Rh (0.7500, 0.2500, 0.5000)

[4]
## Ce8Ge4Pb3 (GGA-PBE)

Data for an optimized crystal structure of Ce8Ge4Pb3.

Results
The crystal system is monoclinic. As for the space group: C2/m, No. 12. For the uncorrected energy, the calculation gives -82.7 eV/cell. The calculation puts the total magnetic moment at 4.51 Bohr magnetons per cell.

a = 8.7638 Å, b = 8.7638 Å, c = 8.6683 Å
α = 119.55°, β = 119.55°, γ = 90.05°
Positions (direct):
Ce (0.2308, 0.2308, 0.4796)
Ce (0.2340, 0.2340, 0.9832)
Ce (0.2416, 0.7584, 0.0000)
Ce (0.2423, 0.7577, 0.5000)
Ce (0.7584, 0.2416, 0.0000)
Ce (0.7577, 0.2423, 0.5000)
Ce (0.7660, 0.7660, 0.0168)
Ce (0.7692, 0.7692, 0.5204)
Ge (0.0000, 0.0000, 0.0000)
Ge (0.0000, 0.0000, 0.5000)
Ge (0.0000, 0.5000, 0.0000)
Ge (0.5000, 0.0000, 0.0000)
Pb (0.0000, 0.5000, 0.5000)
Pb (0.5000, 0.0000, 0.5000)
Pb (0.5000, 0.5000, 0.5000)

[5]
## KMn2RuRh (GGA-PBE)

Data for an optimized crystal structure of KMn2RuRh.

Results
The crystal system is tetragonal. As for the space group: P4/mmm, No. 123. For the uncorrected energy, the calculation gives -21.6 eV/cell. The calculation puts the total magnetic moment at 0.01 Bohr magnetons per cell.

a = 4.1495 Å, b = 4.1495 Å, c = 4.4327 Å
α = 90.00°, β = 90.00°, γ = 90.00°
Positions (direct):
K (0.0000, 0.0000, 0.0000)
Mn (0.0000, 0.5000, 0.0000)
Mn (0.5000, 0.0000, 0.0000)
Ru (0.0000, 0.0000, 0.5000)
Rh (0.5000, 0.5000, 0.5000)

[6]
## Tb6SmDy3Y2 (GGA-PBE)

Data for an optimized crystal structure of Tb6SmDy3Y2.

Results
The crystal system is monoclinic. As for the space group: C2/m, No. 12. For the uncorrected energy, the calculation gives -59.0 eV/cell. The calculation puts the total magnetic moment at 0.00 Bohr magnetons per cell.

a = 6.1687 Å, b = 6.1687 Å, c = 11.8152 Å
α = 94.97°, β = 94.97°, γ = 119.95°
Positions (direct):
Tb (0.0844, 0.4175, 0.7515)
Tb (0.2487, 0.2487, 0.2485)
Tb (0.4175, 0.0844, 0.7515)
Tb (0.5825, 0.9156, 0.2485)
Tb (0.7513, 0.7513, 0.7515)
Tb (0.9156, 0.5825, 0.2485)
Sm (0.0000, 0.0000, 0.5000)
Dy (0.1669, 0.8331, 0.0000)
Dy (0.5000, 0.5000, 0.0000)
Dy (0.8331, 0.1669, 0.0000)
Y (0.3334, 0.6666, 0.5000)
Y (0.6666, 0.3334, 0.5000)

[7]
## YMnFe3 (GGA-PBE)

Data for an optimized crystal structure of YMnFe3.

Results
The crystal system is cubic. As for the space group: Pm-3m, No. 221. For the uncorrected energy, the calculation gives -38.1 eV/cell. The calculation puts the total magnetic moment at 4.34 Bohr magnetons per cell. The value obtained for the relative energy among the computed polymorphs is 0.000 eV/atom.

a = 4.3183 Å, b = 4.3183 Å, c = 4.3183 Å
α = 90.00°, β = 90.00°, γ = 90.00°
Positions (direct):
Y (0.0000, 0.0000, 0.0000)
Mn (0.5000, 0.5000, 0.5000)
Fe (0.0000, 0.5000, 0.5000)
Fe (0.5000, 0.0000, 0.5000)
Fe (0.5000, 0.5000, 0.0000)

[8]
## LiLa2Mg6Ag (GGA-PBE)

Data for an optimized crystal structure of LiLa2Mg6Ag.

Results
The crystal system is tetragonal. As for the space group: I4/mmm, No. 139. For the uncorrected energy, the calculation gives -24.3 eV/cell. The calculation puts the total magnetic moment at 0.00 Bohr magnetons per cell.

a = 7.1516 Å, b = 7.1516 Å, c = 7.1516 Å
α = 119.90°, β = 119.90°, γ = 90.17°
Positions (direct):
Li (0.0000, 0.0000, 0.0000)
La (0.2500, 0.7500, 0.5000)
La (0.7500, 0.2500, 0.5000)
Mg (0.2451, 0.2451, 0.0000)
Mg (0.2452, 0.2452, 0.4903)
Mg (0.2452, 0.7548, 0.0000)
Mg (0.7548, 0.2452, 0.0000)
Mg (0.7549, 0.7549, 0.0000)
Mg (0.7548, 0.7548, 0.5097)
Ag (0.5000, 0.5000, 0.0000)

[9]
## NaTiSnF6 (GGA-PBE)

Data for an optimized crystal structure of NaTiSnF6.

Results
The crystal system is trigonal. The uncorrected formation energy comes out at -2840 meV/atom. As for the space group: P-31c, No. 163. For the uncorrected energy, the calculation gives -100.0 eV/cell. The calculation puts the total magnetic moment at 2.00 Bohr magnetons per cell.

a = 5.6727 Å, b = 5.6727 Å, c = 10.0221 Å
α = 90.00°, β = 90.00°, γ = 120.00°
Positions (direct):
Na (0.3333, 0.6667, 0.2500)
Na (0.6667, 0.3333, 0.7500)
Ti (0.3333, 0.6667, 0.7500)
Ti (0.6667, 0.3333, 0.2500)
Sn (0.0000, 0.0000, 0.0000)
Sn (0.0000, 0.0000, 0.5000)
F (0.0424, 0.3758, 0.6377)
F (0.0424, 0.6666, 0.8623)
F (0.3334, 0.3758, 0.8623)
F (0.3334, 0.9576, 0.6377)
F (0.3758, 0.0424, 0.1377)
F (0.3758, 0.3334, 0.3623)
F (0.6242, 0.6666, 0.6377)
F (0.6242, 0.9576, 0.8623)
F (0.6666, 0.0424, 0.3623)
F (0.6666, 0.6242, 0.1377)
F (0.9576, 0.3334, 0.1377)
F (0.9576, 0.6242, 0.3623)

[10]
## K2TiGaI6 (GGA-PBE)

Data for an optimized crystal structure of K2TiGaI6.

Results
The crystal system is trigonal. The uncorrected formation energy comes out at -925 meV/atom. As for the space group: R3, No. 146. For the uncorrected energy, the calculation gives -31.7 eV/cell. The calculation puts the total magnetic moment at 1.00 Bohr magnetons per cell.

a = 8.4005 Å, b = 8.4005 Å, c = 8.4005 Å
α = 59.86°, β = 59.86°, γ = 59.86°
Positions (direct):
K (0.0000, 0.0000, 0.0000)
K (0.4908, 0.4908, 0.4908)
Ti (0.7121, 0.7121, 0.7121)
Ga (0.2171, 0.2171, 0.2171)
I (0.0277, 0.4827, 0.8583)
I (0.3915, 0.9335, 0.5675)
I (0.4827, 0.8583, 0.0277)
I (0.5675, 0.3915, 0.9335)
I (0.8583, 0.0277, 0.4827)
I (0.9335, 0.5675, 0.3915)

[11]
## ErPuBi (GGA-PBE)

Data for an optimized crystal structure of ErPuBi.

Results
The crystal system is orthorhombic. As for the space group: Pmc2_1, No. 26. For the uncorrected energy, the calculation gives -92.5 eV/cell. The calculation puts the total magnetic moment at 25.44 Bohr magnetons per cell.

a = 3.3724 Å, b = 9.9996 Å, c = 10.3250 Å
α = 90.00°, β = 90.00°, γ = 90.00°
Positions (direct):
Er (0.0000, 0.1687, 0.0000)
Er (0.0000, 0.3220, 0.2941)
Er (0.0000, 0.6780, 0.7941)
Er (0.0000, 0.8313, 0.5000)
Pu (0.0000, 0.1685, 0.5817)
Pu (0.0000, 0.4961, 0.5449)
Pu (0.0000, 0.5039, 0.0449)
Pu (0.0000, 0.8315, 0.0817)
Bi (0.5000, 0.0389, 0.2947)
Bi (0.5000, 0.3753, 0.7942)
Bi (0.5000, 0.6247, 0.2942)
Bi (0.5000, 0.9611, 0.7947)

[12]
## NaInF5 (GGA-PBE)

Data for an optimized crystal structure of NaInF5.

Results
The crystal system is monoclinic. The uncorrected formation energy comes out at -2142 meV/atom. As for the space group: C2/c, No. 15. For the uncorrected energy, the calculation gives -56.8 eV/cell. The calculation puts the total magnetic moment at 2.03 Bohr magnetons per cell.

a = 5.4723 Å, b = 5.4723 Å, c = 8.1083 Å
α = 100.67°, β = 100.67°, γ = 77.48°
Positions (direct):
Na (0.0459, 0.9541, 0.7500)
Na (0.9541, 0.0459, 0.2500)
In (0.5000, 0.5000, 0.0000)
In (0.5000, 0.5000, 0.5000)
F (0.1820, 0.7752, 0.0516)
F (0.2138, 0.2885, 0.4213)
F (0.2248, 0.8180, 0.4484)
F (0.2885, 0.2138, 0.9213)
F (0.4006, 0.5994, 0.7500)
F (0.5994, 0.4006, 0.2500)
F (0.7115, 0.7862, 0.0787)
F (0.7752, 0.1820, 0.5516)
F (0.7862, 0.7115, 0.5787)
F (0.8180, 0.2248, 0.9484)

Please write out number 9 again, unchanged.
## NaTiSnF6 (GGA-PBE)

Data for an optimized crystal structure of NaTiSnF6.

Results
The crystal system is trigonal. The uncorrected formation energy comes out at -2840 meV/atom. As for the space group: P-31c, No. 163. For the uncorrected energy, the calculation gives -100.0 eV/cell. The calculation puts the total magnetic moment at 2.00 Bohr magnetons per cell.

a = 5.6727 Å, b = 5.6727 Å, c = 10.0221 Å
α = 90.00°, β = 90.00°, γ = 120.00°
Positions (direct):
Na (0.3333, 0.6667, 0.2500)
Na (0.6667, 0.3333, 0.7500)
Ti (0.3333, 0.6667, 0.7500)
Ti (0.6667, 0.3333, 0.2500)
Sn (0.0000, 0.0000, 0.0000)
Sn (0.0000, 0.0000, 0.5000)
F (0.0424, 0.3758, 0.6377)
F (0.0424, 0.6666, 0.8623)
F (0.3334, 0.3758, 0.8623)
F (0.3334, 0.9576, 0.6377)
F (0.3758, 0.0424, 0.1377)
F (0.3758, 0.3334, 0.3623)
F (0.6242, 0.6666, 0.6377)
F (0.6242, 0.9576, 0.8623)
F (0.6666, 0.0424, 0.3623)
F (0.6666, 0.6242, 0.1377)
F (0.9576, 0.3334, 0.1377)
F (0.9576, 0.6242, 0.3623)

Look up the total magnetic moment of the third one. 0.00 Bohr magnetons per cell